# PBE-GGA Nd2Sc2CBr3Cl2, relaxed
# Total energy (eV/atom): -5.5290
# Offset from the most stable computed form (kJ/mol of formula units): 0.0
data_Nd2Sc2CBr3Cl2
_chemical_formula_sum 'Nd2 Sc2 C1 Br3 Cl2'
_symmetry_space_group_name_H-M 'P 1'
_symmetry_Int_Tables_number 1
_cell_length_a 8.761
_cell_length_b 8.761
_cell_length_c 8.518
_cell_angle_alpha 102.83
_cell_angle_beta 102.83
_cell_angle_gamma 24.72
loop_
_symmetry_equiv_pos_as_xyz
'x,y,z'
loop_
_atom_site_label
_atom_site_type_symbol
_atom_site_fract_x
_atom_site_fract_y
_atom_site_fract_z
C1 C 0.500 0.500 0.000
Nd1 Nd 0.002 0.002 0.795
Nd2 Nd 0.998 0.998 0.205
Sc1 Sc 0.365 0.365 0.933
Sc2 Sc 0.635 0.635 0.067
Br1 Br 0.500 0.500 0.500
Br2 Br 0.825 0.825 0.694
Br3 Br 0.175 0.175 0.306
Cl1 Cl 0.174 0.174 0.880
Cl2 Cl 0.826 0.826 0.120